A plane-wave DFT calculation with PBE was carried out for a relaxed FeCoSiNi crystal. Values from VASP.

Output
E_tot in eV/cell: -27.52

```
&SYSTEM
  ibrav = 0, nat = 4, ntyp = 4
/
ATOMIC_SPECIES
Ni 58.69 Ni.upf
Fe 55.84 Fe.upf
Si 28.09 Si.upf
Co 58.93 Co.upf
ATOMIC_POSITIONS crystal
Ni 0.500 0.500 0.500
Fe 0.750 0.750 0.750
Si 0.000 0.000 0.000
Co 0.250 0.250 0.250
CELL_PARAMETERS angstrom
2.195 -3.048 -1.121
-1.704 -3.406 -0.927
-0.075 -1.203 -3.730
```